First-principles (PBE) data for an optimized crystal structure of TbSn2Pb, as listed in the Alexandria database.

Formation enthalpy at 0 K ... -0.345 eV/atom
Relative energy among the computed polymorphs ... 35 meV/atom
Calculated density ... 9.18 g/cm3

```
data_TbSn2Pb
_cell_length_a 4.559
_cell_length_b 4.559
_cell_length_c 10.498
_cell_angle_alpha 90.00
_cell_angle_beta 90.00
_cell_angle_gamma 90.00
_space_group_name_H-M_alt 'I 4/m m m'
_space_group_IT_number 139
_space_group_name_Hall '-I 4 2'
loop_
_atom_site_label
_atom_site_fract_x
_atom_site_fract_y
_atom_site_fract_z
Tb1 0.000 0.000 0.000
Sn1 0.000 0.500 0.250
Pb1 0.000 0.000 0.500
```

=====

First-principles (PBE) data for an optimized crystal structure of TbSnPb, as listed in the Alexandria database.

Formation enthalpy at 0 K ... -0.282 eV/atom
Relative energy among the computed polymorphs ... 218 meV/atom
Calculated density ... 9.56 g/cm3

```
data_TbSnPb
_cell_length_a 3.904
_cell_length_b 3.904
_cell_length_c 11.049
_cell_angle_alpha 90.00
_cell_angle_beta 90.00
_cell_angle_gamma 90.00
_space_group_name_H-M_alt 'I 4 m m'
_space_group_IT_number 107
_space_group_name_Hall 'I 4 -2'
loop_
_atom_site_label
_atom_site_fract_x
_atom_site_fract_y
_atom_site_fract_z
Tb1 0.000 0.000 0.000
Sn1 0.000 0.000 0.333
Pb1 0.000 0.000 0.682
```

=====

First-principles (PBE) data for an optimized crystal structure of Tb2SnPb, as listed in the Alexandria database.

Formation enthalpy at 0 K ... -0.617 eV/atom
Relative energy among the computed polymorphs ... 0 meV/atom
Calculated density ... 9.30 g/cm3

```
data_Tb2SnPb
_cell_length_a 6.220
_cell_length_b 4.390
_cell_length_c 8.910
_cell_angle_alpha 90.00
_cell_angle_beta 109.18
_cell_angle_gamma 90.00
_space_group_name_H-M_alt 'P 1 21/m 1'
_space_group_IT_number 11
_space_group_name_Hall '-P 2yb'
loop_
_atom_site_label
_atom_site_fract_x
_atom_site_fract_y
_atom_site_fract_z
Tb1 0.191 0.250 0.431
Tb2 0.294 0.750 0.063
Sn1 0.109 0.250 0.798
Pb1 0.399 0.750 0.701
```

=====

First-principles (PBE) data for an optimized crystal structure of Tb4SnPb, as listed in the Alexandria database.

Formation enthalpy at 0 K ... -0.357 eV/atom
Calculated density ... 8.55 g/cm3

```
data_Tb4SnPb
_cell_length_a 19.055
_cell_length_b 4.810
_cell_length_c 8.250
_cell_angle_alpha 90.00
_cell_angle_beta 98.94
_cell_angle_gamma 90.00
_space_group_name_H-M_alt 'C 1 2/m 1'
_space_group_IT_number 12
_space_group_name_Hall '-C 2y'
loop_
_atom_site_label
_atom_site_fract_x
_atom_site_fract_y
_atom_site_fract_z
Tb1 0.068 0.000 0.360
Tb2 0.087 0.500 0.863
Tb3 0.189 0.500 0.478
Tb4 0.211 0.000 0.129
Sn1 0.180 0.000 0.734
Pb1 0.000 0.000 0.000
Pb2 0.000 0.500 0.500
```

=====

First-principles (PBE) data for an optimized crystal structure of TbSnPb, as listed in the Alexandria database.

Formation enthalpy at 0 K ... -0.500 eV/atom
Relative energy among the computed polymorphs ... 0 meV/atom
Calculated density ... 9.67 g/cm3

```
data_TbSnPb
_cell_length_a 4.596
_cell_length_b 16.409
_cell_length_c 4.417
_cell_angle_alpha 90.00
_cell_angle_beta 90.00
_cell_angle_gamma 90.00
_space_group_name_H-M_alt 'C m c m'
_space_group_IT_number 63
_space_group_name_Hall '-C 2c 2'
loop_
_atom_site_label
_atom_site_fract_x
_atom_site_fract_y
_atom_site_fract_z
Tb1 0.000 0.093 0.250
Sn1 0.000 0.436 0.250
Pb1 0.000 0.252 0.750
```

=====

First-principles (PBE) data for an optimized crystal structure of Tb2SnPb, as listed in the Alexandria database.

Formation enthalpy at 0 K ... -0.531 eV/atom
Relative energy among the computed polymorphs ... 86 meV/atom
Calculated density ... 9.68 g/cm3

```
data_Tb2SnPb
_cell_length_a 4.994
_cell_length_b 4.994
_cell_length_c 4.428
_cell_angle_alpha 90.00
_cell_angle_beta 90.00
_cell_angle_gamma 90.00
_space_group_name_H-M_alt 'P 4/m m m'
_space_group_IT_number 123
_space_group_name_Hall '-P 4 2'
loop_
_atom_site_label
_atom_site_fract_x
_atom_site_fract_y
_atom_site_fract_z
Tb1 0.000 0.500 0.000
Sn1 0.000 0.000 0.500
Pb1 0.500 0.500 0.500
```

=====

The highest calculated density belongs to which entry?
number 6